(1)
! meta-GGA SCAN ScNbBr3, single point on PBEsol structure; values from VASP
! Total magnetization: 0.923 μB per atom
! N(E_F): 6.43 states/eV/cell
! Energy relative to the elements, uncorrected: -0.277 eV/atom
! Calculated total energy: -107.13 eV/cell
! Volume: 138.0 Å³/cell
! SG: No. 221
&SYSTEM
  ibrav = 0, nat = 5, ntyp = 3
/
ATOMIC_SPECIES
Sc 44.96 Sc.upf
Nb 92.91 Nb.upf
Br 79.90 Br.upf
ATOMIC_POSITIONS crystal
Sc 0.000 0.000 0.000
Nb 0.500 0.500 0.500
Br 0.000 0.000 0.500
Br 0.000 0.500 0.000
Br 0.500 0.000 0.000
CELL_PARAMETERS angstrom
5.168 0.000 0.000
0.000 5.168 0.000
0.000 0.000 5.168

(2)
! meta-GGA SCAN ScNbBr3, single point on PBEsol structure; values from VASP
! Total magnetization: 0.891 μB per atom
! N(E_F): 5.98 states/eV/cell
! Energy relative to the elements, uncorrected: -0.124 eV/atom
! Calculated total energy: -106.36 eV/cell
! Volume: 133.2 Å³/cell
! SG: No. 221
&SYSTEM
  ibrav = 0, nat = 5, ntyp = 3
/
ATOMIC_SPECIES
Sc 44.96 Sc.upf
Nb 92.91 Nb.upf
Br 79.90 Br.upf
ATOMIC_POSITIONS crystal
Sc 0.000 0.000 0.000
Nb 0.500 0.500 0.500
Br 0.000 0.500 0.500
Br 0.500 0.000 0.500
Br 0.500 0.500 0.000
CELL_PARAMETERS angstrom
5.107 0.000 0.000
0.000 5.107 0.000
0.000 0.000 5.107

(3)
! meta-GGA SCAN ScNbBr2, single point on PBEsol structure; values from VASP
! Total magnetization: 0.000 μB per atom
! N(E_F): 8.82 states/eV/cell
! Energy relative to the elements, uncorrected: -0.383 eV/atom
! Calculated total energy: -263.46 eV/cell
! Volume: 246.6 Å³/cell
! SG: No. 166
&SYSTEM
  ibrav = 0, nat = 12, ntyp = 3
/
ATOMIC_SPECIES
Sc 44.96 Sc.upf
Nb 92.91 Nb.upf
Br 79.90 Br.upf
ATOMIC_POSITIONS crystal
Sc 0.000 0.000 0.000
Sc 0.333 0.667 0.667
Sc 0.667 0.333 0.333
Nb 0.000 0.000 0.500
Nb 0.333 0.667 0.167
Nb 0.667 0.333 0.833
Br 0.000 0.000 0.404
Br 0.000 0.000 0.596
Br 0.333 0.667 0.071
Br 0.333 0.667 0.263
Br 0.667 0.333 0.737
Br 0.667 0.333 0.929
CELL_PARAMETERS angstrom
3.234 0.000 0.000
-1.617 2.801 0.000
0.000 0.000 27.227

> Number 1 is which compound?

ScNbBr3

Repeat the first record exactly.
! meta-GGA SCAN ScNbBr3, single point on PBEsol structure; values from VASP
! Total magnetization: 0.923 μB per atom
! N(E_F): 6.43 states/eV/cell
! Energy relative to the elements, uncorrected: -0.277 eV/atom
! Calculated total energy: -107.13 eV/cell
! Volume: 138.0 Å³/cell
! SG: No. 221
&SYSTEM
  ibrav = 0, nat = 5, ntyp = 3
/
ATOMIC_SPECIES
Sc 44.96 Sc.upf
Nb 92.91 Nb.upf
Br 79.90 Br.upf
ATOMIC_POSITIONS crystal
Sc 0.000 0.000 0.000
Nb 0.500 0.500 0.500
Br 0.000 0.000 0.500
Br 0.000 0.500 0.000
Br 0.500 0.000 0.000
CELL_PARAMETERS angstrom
5.168 0.000 0.000
0.000 5.168 0.000
0.000 0.000 5.168